The following is a PBE-GGA calculation of a relaxed structure of ZrSi, from OQMD.

crystal system = orthorhombic
ρ = 5.37 g cm⁻³
SG = Pmmn (59)
raw total energy = -7.143 eV per atom

abc: 5.080 11.727 4.956
angles: 90.00 90.00 90.00
Fractional positions:
Si  0.843  0.875  0.500
Zr  0.881  0.125  0.500
Si  0.490  0.375  0.000
Zr  0.360  0.486  0.500
Zr  0.881  0.625  0.500
Zr  0.360  0.264  0.500
Si  0.959  0.238  0.000
Zr  0.974  0.764  0.000
Zr  0.452  0.625  0.000
Si  0.375  0.012  0.500
Si  0.472  0.875  0.000
Si  0.375  0.738  0.500
Zr  0.974  0.986  0.000
Zr  0.452  0.125  0.000
Si  0.861  0.375  0.500
Si  0.959  0.512  0.000